Record 1
The following is a DFT calculation (GGA-PBE) of ZrNbFe4 after structural relaxation.

Cell lengths 4.904, 4.904, 8.020 Å; angles 90.00, 90.00, 120.00 degrees
Last column: magnetic moment on the atom in μB.
Atoms (fractional coordinates):
Fe  0.832  0.168  0.255  1.78
Fe  0.336  0.168  0.255  1.78
Fe  0.832  0.664  0.255  1.78
Fe  0.168  0.336  0.745  1.78
Fe  0.168  0.832  0.745  1.78
Fe  0.000  0.000  0.000  1.89
Fe  0.000  0.000  0.500  1.75
Fe  0.664  0.832  0.745  1.78
Zr  0.333  0.667  0.068  -0.40
Zr  0.667  0.333  0.932  -0.40
Nb  0.333  0.667  0.446  -0.41
Nb  0.667  0.333  0.554  -0.41

Values from the calculation:
As for the volume: 13.9 Å³/atom. Its space group is P-3m1 (164). The size of the total moment comes out at 6.10 μB per formula unit. The calculated formation energy is -0.189 eV/atom.

Record 2
The following is a DFT calculation (GGA-PBE) of Na5Tl5Pd after structural relaxation.

Cell lengths 5.358, 6.589, 10.211 Å; angles 94.68, 90.00, 113.99 degrees
Atoms (fractional coordinates):
Na  0.706  0.412  0.405
Na  0.413  0.826  0.279
Na  0.587  0.174  0.721
Na  0.000  0.000  0.500
Na  0.294  0.588  0.595
Tl  0.862  0.724  0.765
Tl  0.213  0.426  0.898
Tl  0.138  0.276  0.235
Tl  0.500  0.000  0.000
Tl  0.787  0.574  0.102
Pd  0.000  0.000  0.000

Values from the calculation:
As for the volume: 29.8 Å³/atom. Its space group is C2/m (12). The size of the total moment comes out at 0.00 μB per formula unit. The calculated formation energy is -0.068 eV/atom.

Record 3
The following is a DFT calculation (GGA-PBE) of Pm12Sn6Bi after structural relaxation.

Cell lengths 9.074, 9.074, 9.074 Å; angles 100.54, 100.54, 100.54 degrees
Atoms (fractional coordinates):
Pm  0.056  0.666  0.941
Pm  0.334  0.059  0.944
Pm  0.422  0.562  0.183
Pm  0.562  0.183  0.422
Pm  0.059  0.944  0.334
Pm  0.578  0.438  0.817
Pm  0.941  0.056  0.666
Pm  0.944  0.334  0.059
Pm  0.666  0.941  0.056
Pm  0.183  0.422  0.562
Pm  0.438  0.817  0.578
Pm  0.817  0.578  0.438
Sn  0.132  0.618  0.308
Sn  0.868  0.382  0.692
Sn  0.618  0.308  0.132
Sn  0.308  0.132  0.618
Sn  0.692  0.868  0.382
Sn  0.382  0.692  0.868
Bi  0.000  0.000  0.000

Values from the calculation:
As for the volume: 37.0 Å³/atom. Its space group is R-3 (148). The size of the total moment comes out at 0.29 μB per formula unit. The calculated formation energy is -0.405 eV/atom.

Record 4
The following is a DFT calculation (GGA-PBE) of Y3Mg2Ag after structural relaxation.

Cell lengths 3.755, 3.755, 11.155 Å; angles 90.00, 90.00, 90.00 degrees
Atoms (fractional coordinates):
Y  0.000  0.000  0.658
Y  0.000  0.000  0.342
Y  0.000  0.000  0.000
Mg  0.500  0.500  0.833
Mg  0.500  0.500  0.167
Ag  0.500  0.500  0.500

Values from the calculation:
As for the volume: 26.2 Å³/atom. Its space group is P4/mmm (123). The size of the total moment comes out at 0.00 μB per formula unit. The calculated formation energy is -0.176 eV/atom.

Record 5
The following is a DFT calculation (GGA-PBE) of HfU3C4 after structural relaxation.

Cell lengths 5.905, 5.998, 6.912 Å; angles 90.00, 90.00, 109.37 degrees
Atoms (fractional coordinates):
C  0.498  0.240  0.879
C  0.007  0.758  0.364
C  0.507  0.758  0.636
C  0.502  0.760  0.121
C  0.493  0.242  0.364
C  0.002  0.760  0.879
C  0.993  0.242  0.636
C  0.998  0.240  0.121
U  0.750  0.000  0.374
U  0.750  0.500  0.628
U  0.250  0.500  0.878
U  0.750  0.500  0.122
U  0.250  0.500  0.372
U  0.250  0.000  0.626
Hf  0.250  0.000  0.121
Hf  0.750  0.000  0.879

Values from the calculation:
As for the volume: 14.4 Å³/atom. Its space group is P2/c (13). The size of the total moment comes out at 0.00 μB per formula unit. The calculated formation energy is -0.331 eV/atom.

Record 6
The following is a DFT calculation (GGA-PBE) of La2WAu after structural relaxation.

Cell lengths 6.181, 6.181, 8.621 Å; angles 68.99, 68.99, 90.00 degrees
Last column: magnetic moment on the atom in μB.
Atoms (fractional coordinates):
La  0.576  0.125  0.250  0.06
La  0.375  0.424  0.750  0.06
La  0.174  0.625  0.250  0.07
La  0.875  0.826  0.750  0.06
W  0.500  0.500  0.000  0.60
W  0.250  0.750  0.500  0.60
Au  0.000  0.000  0.000  0.00
Au  0.750  0.250  0.500  0.00

Values from the calculation:
As for the volume: 35.5 Å³/atom. Its space group is I-42d (122). The size of the total moment comes out at 0.88 μB per formula unit. The calculated formation energy is 0.877 eV/atom.

Record 7
The following is a DFT calculation (GGA-PBE) of ScTlSF2 after structural relaxation.

Cell lengths 4.302, 4.302, 5.069 Å; angles 90.00, 90.00, 90.00 degrees
Atoms (fractional coordinates):
F  0.500  0.000  0.000
F  0.000  0.500  0.000
Tl  0.500  0.500  0.500
S  0.000  0.000  0.500
Sc  0.000  0.000  0.000

Values from the calculation:
As for the volume: 18.8 Å³/atom. Its space group is P4/mmm (123). For the raw formation energy, the calculation gives -2.427 eV per atom. The size of the total moment comes out at 0.00 μB per formula unit.

Record 8
The following is a DFT calculation (GGA-PBE) of Ho3Ni2Ru4 after structural relaxation.

Cell lengths 5.231, 5.250, 12.822 Å; angles 89.78, 91.20, 119.59 degrees
Atoms (fractional coordinates):
Ru  0.663  0.834  0.332
Ru  0.337  0.166  0.668
Ru  0.323  0.663  0.163
Ru  0.166  0.834  0.332
Ru  0.834  0.166  0.668
Ru  0.677  0.337  0.837
Ru  0.000  0.000  0.500
Ru  0.000  0.500  0.000
Ho  0.989  0.997  0.125
Ho  0.011  0.003  0.875
Ho  0.336  0.670  0.542
Ho  0.663  0.339  0.206
Ho  0.664  0.330  0.458
Ho  0.337  0.661  0.794
Ni  0.164  0.332  0.333
Ni  0.836  0.668  0.667
Ni  0.500  0.500  0.000
Ni  0.500  0.000  0.000

Values from the calculation:
As for the volume: 17.0 Å³/atom. Its space group is P-1 (2). The size of the total moment comes out at 0.00 μB per formula unit. The calculated formation energy is -0.385 eV/atom.